[1]
# CaMoAsAu2

Crystalline CaMoAsAu2 at its relaxed geometry (PBE, Alexandria via LeMat-Bulk).

Values from the calculation:
Energy relative to the elements   1025.9 meV per atom

a = 4.9868 Å, b = 4.9868 Å, c = 5.5569 Å
α = 90.00°, β = 90.00°, γ = 90.00°
Atoms (fractional coordinates):
Ca (0.0000, 0.0000, 0.0000)
Mo (0.0000, 0.0000, 0.5000)
As (0.5000, 0.5000, 0.0000)
Au (0.0000, 0.5000, 0.5000)
Au (0.5000, 0.0000, 0.5000)

---

[2]
# Ca4AsAuN

Crystalline Ca4AsAuN at its relaxed geometry (PBE, Alexandria via LeMat-Bulk).

Values from the calculation:
Formation energy without anion corrections   -0.897 eV/atom

a = 8.2448 Å, b = 8.2448 Å, c = 6.7893 Å
α = 90.00°, β = 90.00°, γ = 132.33°
Atoms (fractional coordinates):
Ca (0.0000, 0.5000, 0.0000)
Ca (0.0000, 0.5000, 0.5000)
Ca (0.0815, 0.9185, 0.7500)
Ca (0.4087, 0.5913, 0.7500)
Ca (0.5000, 0.0000, 0.0000)
Ca (0.5000, 0.0000, 0.5000)
Ca (0.5913, 0.4087, 0.2500)
Ca (0.9185, 0.0815, 0.2500)
As (0.1157, 0.8843, 0.2500)
As (0.8843, 0.1157, 0.7500)
Au (0.3923, 0.6077, 0.2500)
Au (0.6077, 0.3923, 0.7500)
N (0.2465, 0.7535, 0.7500)
N (0.7535, 0.2465, 0.2500)

---

[3]
# Ca2Ni3As4Au

Crystalline Ca2Ni3As4Au at its relaxed geometry (PBE, Alexandria via LeMat-Bulk).

Values from the calculation:
Energy relative to the elements   -605.0 meV per atom

a = 4.2388 Å, b = 4.2388 Å, c = 9.9000 Å
α = 90.00°, β = 90.00°, γ = 90.00°
Atoms (fractional coordinates):
Ca (0.0000, 0.5000, 0.2439)
Ca (0.5000, 0.0000, 0.7561)
Ni (0.0000, 0.5000, 0.8854)
Ni (0.5000, 0.0000, 0.1146)
Ni (0.5000, 0.5000, 0.5000)
As (0.0000, 0.0000, 0.0000)
As (0.0000, 0.5000, 0.6506)
As (0.5000, 0.0000, 0.3494)
As (0.5000, 0.5000, 0.0000)
Au (0.0000, 0.0000, 0.5000)

---

[4]
# CaNiAs2Au

Crystalline CaNiAs2Au at its relaxed geometry (PBE, Alexandria via LeMat-Bulk).

Values from the calculation:
Energy relative to the elements   669.5 meV per atom

a = 4.9795 Å, b = 4.9795 Å, c = 5.3281 Å
α = 90.00°, β = 90.00°, γ = 90.00°
Atoms (fractional coordinates):
Ca (0.0000, 0.0000, 0.0000)
Ni (0.5000, 0.5000, 0.0000)
As (0.0000, 0.5000, 0.5000)
As (0.5000, 0.0000, 0.5000)
Au (0.0000, 0.0000, 0.5000)

---

[5]
# CaAs2AuO

Crystalline CaAs2AuO at its relaxed geometry (PBE, Alexandria via LeMat-Bulk).

Values from the calculation:
Formation energy without anion corrections   -0.196 eV/atom

a = 4.4466 Å, b = 4.4466 Å, c = 4.8611 Å
α = 90.00°, β = 90.00°, γ = 90.00°
Atoms (fractional coordinates):
Ca (0.0000, 0.0000, 0.0000)
As (0.0000, 0.5000, 0.5000)
As (0.5000, 0.0000, 0.5000)
Au (0.5000, 0.5000, 0.0000)
O (0.5000, 0.5000, 0.5000)

---

[6]
# CaAs2OsAu

Crystalline CaAs2OsAu at its relaxed geometry (PBE, Alexandria via LeMat-Bulk).

Values from the calculation:
Energy relative to the elements   1813.8 meV per atom

a = 5.1765 Å, b = 5.1765 Å, c = 5.1077 Å
α = 90.00°, β = 90.00°, γ = 90.00°
Atoms (fractional coordinates):
Ca (0.0000, 0.0000, 0.0000)
As (0.0000, 0.5000, 0.0000)
As (0.5000, 0.0000, 0.0000)
Os (0.5000, 0.5000, 0.5000)
Au (0.0000, 0.0000, 0.5000)

---

[7]
# Ca2AsPAu6

Crystalline Ca2AsPAu6 at its relaxed geometry (PBE, Alexandria via LeMat-Bulk).

Values from the calculation:
Energy relative to the elements   -408.7 meV per atom

a = 5.6343 Å, b = 8.2656 Å, c = 9.6585 Å
α = 90.00°, β = 90.00°, γ = 90.00°
Atoms (fractional coordinates):
Ca (0.2500, 0.0024, 0.2385)
Ca (0.2500, 0.4976, 0.2385)
Ca (0.7500, 0.5024, 0.7615)
Ca (0.7500, 0.9976, 0.7615)
As (0.2500, 0.7500, 0.7967)
As (0.7500, 0.2500, 0.2033)
P (0.2500, 0.2500, 0.7846)
P (0.7500, 0.7500, 0.2154)
Au (0.9997, 0.2500, 0.4864)
Au (0.0003, 0.7500, 0.5136)
Au (0.0007, 0.7500, 0.0153)
Au (0.2500, 0.0106, 0.6355)
Au (0.2500, 0.4894, 0.6355)
Au (0.4993, 0.7500, 0.0153)
Au (0.5003, 0.2500, 0.4864)
Au (0.4997, 0.7500, 0.5136)
Au (0.5007, 0.2500, 0.9847)
Au (0.7500, 0.5106, 0.3645)
Au (0.7500, 0.9894, 0.3645)
Au (0.9993, 0.2500, 0.9847)

---

[8]
# CaAsPb2Au

Crystalline CaAsPb2Au at its relaxed geometry (PBE, Alexandria via LeMat-Bulk).

Values from the calculation:
Energy relative to the elements   711.5 meV per atom

a = 5.9139 Å, b = 5.9139 Å, c = 5.2123 Å
α = 90.00°, β = 90.00°, γ = 90.00°
Atoms (fractional coordinates):
Ca (0.0000, 0.0000, 0.0000)
As (0.0000, 0.0000, 0.5000)
Pb (0.0000, 0.5000, 0.0000)
Pb (0.5000, 0.0000, 0.0000)
Au (0.5000, 0.5000, 0.5000)

---

[9]
# Ca2As3Pd4Au

Crystalline Ca2As3Pd4Au at its relaxed geometry (PBE, Alexandria via LeMat-Bulk).

Values from the calculation:
Energy relative to the elements   -657.5 meV per atom

a = 4.3345 Å, b = 4.3345 Å, c = 10.5481 Å
α = 90.00°, β = 90.00°, γ = 90.00°
Atoms (fractional coordinates):
Ca (0.0000, 0.5000, 0.2481)
Ca (0.5000, 0.0000, 0.7519)
As (0.0000, 0.0000, 0.0000)
As (0.0000, 0.5000, 0.6259)
As (0.5000, 0.0000, 0.3741)
Pd (0.0000, 0.0000, 0.5000)
Pd (0.0000, 0.5000, 0.8523)
Pd (0.5000, 0.0000, 0.1477)
Pd (0.5000, 0.5000, 0.5000)
Au (0.5000, 0.5000, 0.0000)

---

[10]
# Ca3As2Pd9Au

Crystalline Ca3As2Pd9Au at its relaxed geometry (PBE, Alexandria via LeMat-Bulk).

Values from the calculation:
Energy relative to the elements   -358.8 meV per atom

a = 7.7159 Å, b = 7.7159 Å, c = 6.2794 Å
α = 90.00°, β = 90.00°, γ = 120.00°
Atoms (fractional coordinates):
Ca (0.0000, 0.0000, 0.0000)
Ca (0.3333, 0.6667, 0.6624)
Ca (0.6667, 0.3333, 0.3376)
As (0.3333, 0.6667, 0.1415)
As (0.6667, 0.3333, 0.8585)
Pd (0.0000, 0.5000, 0.0000)
Pd (0.1793, 0.3586, 0.3353)
Pd (0.1793, 0.8207, 0.3353)
Pd (0.3586, 0.1793, 0.6647)
Pd (0.5000, 0.0000, 0.0000)
Pd (0.5000, 0.5000, 0.0000)
Pd (0.6414, 0.8207, 0.3353)
Pd (0.8207, 0.1793, 0.6647)
Pd (0.8207, 0.6414, 0.6647)
Au (0.0000, 0.0000, 0.5000)

---

[11]
# CaAs2Pd5Au

Crystalline CaAs2Pd5Au at its relaxed geometry (PBE, Alexandria via LeMat-Bulk).

Values from the calculation:
Energy relative to the elements   -379.4 meV per atom

a = 4.6095 Å, b = 4.6095 Å, c = 7.7066 Å
α = 90.00°, β = 90.00°, γ = 90.00°
Atoms (fractional coordinates):
Ca (0.0000, 0.0000, 0.0000)
As (0.5000, 0.5000, 0.3397)
As (0.5000, 0.5000, 0.6603)
Pd (0.0000, 0.5000, 0.2426)
Pd (0.0000, 0.5000, 0.7574)
Pd (0.5000, 0.0000, 0.2426)
Pd (0.5000, 0.0000, 0.7574)
Pd (0.5000, 0.5000, 0.0000)
Au (0.0000, 0.0000, 0.5000)

---

[12]
# Ca2As4Pd3Au

Crystalline Ca2As4Pd3Au at its relaxed geometry (PBE, Alexandria via LeMat-Bulk).

Values from the calculation:
Energy relative to the elements   -664.3 meV per atom

a = 4.3763 Å, b = 4.3763 Å, c = 10.4814 Å
α = 90.00°, β = 90.00°, γ = 90.00°
Atoms (fractional coordinates):
Ca (0.0000, 0.5000, 0.2472)
Ca (0.5000, 0.0000, 0.7528)
As (0.0000, 0.0000, 0.5000)
As (0.0000, 0.5000, 0.8584)
As (0.5000, 0.0000, 0.1416)
As (0.5000, 0.5000, 0.5000)
Pd (0.0000, 0.0000, 0.0000)
Pd (0.0000, 0.5000, 0.6250)
Pd (0.5000, 0.0000, 0.3750)
Au (0.5000, 0.5000, 0.0000)